1.
Here is LiNi5 after structural relaxation from Alexandria. Energies are from GGA-PBE.

Geometry as extended XYZ:
```
12
Lattice="0.0209 2.2548 -3.6725 -3.6389 0.0790 3.3639 3.3492 5.6536 3.4902" Properties=species:S:1:pos:R:3 pbc="T T T"
Li -0.9674 3.1441 -0.1990
Li 0.6987 4.8434 3.3806
Ni 0.8523 3.1045 -1.8812
Ni -1.1210 4.8829 5.0628
Ni 1.4097 2.9353 0.5461
Ni -0.5433 6.9683 3.8184
Ni -1.6784 5.0521 2.6355
Ni 0.2746 1.0191 -0.6368
Ni -0.4221 2.9535 2.2151
Ni 1.2635 6.9078 2.1233
Ni 0.1534 5.0340 0.9665
Ni -1.5322 1.0796 1.0583
```

Summary:
ΔH_f (0 K)	0.00	eV per atom
excess energy over the best structure of this formula in the dataset	0.000	eV per formula unit
total magnetization	5.16	Bohr magnetons per cell

2.
Here is Nb2BiPtO after structural relaxation from Alexandria. Energies are from GGA-PBE.

Geometry as extended XYZ:
```
5
Lattice="4.9183 0.0000 0.0000 0.0000 5.4827 0.0000 0.0000 0.0000 4.9183" Properties=species:S:1:pos:R:3 pbc="T T T"
O 2.4591 2.7414 2.4591
Nb 0.0000 0.0000 2.4591
Nb 2.4591 0.0000 0.0000
Bi 0.0000 2.7414 0.0000
Pt 0.0000 0.0000 0.0000
```

Summary:
formation energy (no corrections)	32.79	kcal/mol of atoms
total magnetization	1.74	Bohr magnetons per cell

3.
Here is InAgIr4 after structural relaxation from Alexandria. Energies are from GGA-PBE.

Geometry as extended XYZ:
```
6
Lattice="-4.1718 1.6072 2.7565 -3.8687 2.6318 -2.3858 -4.6707 -2.2880 -0.7312" Properties=species:S:1:pos:R:3 pbc="T T T"
In 0.0000 0.0000 0.0000
Ag -9.5335 1.4632 -0.2703
Ir -6.8525 1.5350 1.2427
Ir -7.1019 -0.4120 -0.5007
Ir -6.7010 2.0472 -1.3277
Ir -4.7672 0.7317 -0.1352
```

Summary:
ΔH_f (0 K)	0.34	eV per atom
total magnetization	0.00	Bohr magnetons per cell

4.
Here is NpTcCl2O6 after structural relaxation from Alexandria. Energies are from GGA-PBE.

Geometry as extended XYZ:
```
10
Lattice="-4.6793 2.5433 -5.0124 0.8288 -1.9077 -7.2599 -4.4777 -2.5592 -6.8654" Properties=species:S:1:pos:R:3 pbc="T T T"
Np 0.0000 0.0000 0.0000
Tc -1.9252 0.3178 -6.1362
Cl -4.7167 -0.0323 -9.6016
Cl -3.6114 -1.8913 -9.5362
O -3.4522 -1.0206 -6.3279
O -7.0241 -1.3237 -14.3915
O -0.7716 -0.8252 -7.3552
O -7.5565 -1.0985 -11.7825
O -1.3040 -0.6000 -4.7462
O -4.8759 -0.9031 -12.8099
```

Summary:
formation energy (no corrections)	-32.20	kcal/mol of atoms
total magnetization	0.56	Bohr magnetons per cell

5.
Here is FeOs after structural relaxation from Alexandria. Energies are from GGA-PBE.

Geometry as extended XYZ:
```
8
Lattice="4.5677 0.0000 0.0000 0.0000 4.1490 0.0000 0.0000 0.0000 5.2337" Properties=species:S:1:pos:R:3 pbc="T T T"
Fe 0.3704 1.0373 0.6434
Fe 1.9135 3.1118 3.2603
Fe 2.6542 1.0373 1.9734
Fe 4.1973 3.1118 4.5902
Os 0.3954 1.0373 3.2823
Os 1.8884 3.1118 0.6655
Os 2.6793 1.0373 4.5682
Os 4.1723 3.1118 1.9513
```

Summary:
ΔH_f (0 K)	0.03	eV per atom
total magnetization	0.00	Bohr magnetons per cell

6.
Here is AcSnPt2 after structural relaxation from Alexandria. Energies are from GGA-PBE.

Geometry as extended XYZ:
```
4
Lattice="-1.6928 3.5623 0.3149 -4.5551 -2.2375 0.8256 1.2142 0.1355 4.9945" Properties=species:S:1:pos:R:3 pbc="T T T"
Ac 0.7317 -0.0630 4.6458
Sn -2.5624 0.7114 3.0345
Pt -2.4443 0.5391 5.6179
Pt -0.4173 1.8145 2.0866
```

Summary:
ΔH_f (0 K)	-0.84	eV per atom
total magnetization	0.00	Bohr magnetons per cell

7.
Here is ZrAs2BrF after structural relaxation from Alexandria. Energies are from GGA-PBE.

Geometry as extended XYZ:
```
5
Lattice="-1.8872 -1.3610 3.6471 3.7487 -1.7278 1.2950 1.2686 4.5041 2.3373" Properties=species:S:1:pos:R:3 pbc="T T T"
As 1.8743 -0.8639 0.6475
As -0.9436 -0.6805 1.8235
Br 0.6343 2.2521 1.1686
Zr 1.5650 0.7077 3.6397
F 0.0000 0.0000 0.0000
```

Summary:
excess energy over the best structure of this formula in the dataset	0.000	eV per formula unit
formation energy (no corrections)	-4.14	kcal/mol of atoms
total magnetization	0.00	Bohr magnetons per cell

8.
Here is ZrGa2Rh after structural relaxation from Alexandria. Energies are from GGA-PBE.

Geometry as extended XYZ:
```
8
Lattice="7.2312 0.0000 0.0000 0.0000 7.2312 0.0000 3.6156 3.6156 2.7636" Properties=species:S:1:pos:R:3 pbc="T T T"
Rh 0.0000 0.0000 0.0000
Rh 7.2312 3.6156 1.3818
Ga 5.6631 1.8078 0.6909
Ga 1.5681 5.4234 0.6909
Ga 5.4234 5.1836 2.0727
Ga 9.0389 9.2787 2.0727
Zr 3.6156 3.6156 0.0000
Zr 3.6156 7.2312 1.3818
```

Summary:
ΔH_f (0 K)	-0.39	eV per atom
total magnetization	0.00	Bohr magnetons per cell

| no. | density of states at the Fermi level (states/eV/f.u.) |
| --- | --- |
| 1 | 8.1 |
| 2 | 5.1 |
| 3 | 6.9 |
| 4 | 5.7 |
| 5 | 2.1 |
| 6 | 1.0 |
| 7 | 2.7 |
| 8 | 3.0 |